ZrBe2Tc2: relaxed, PBE-GGA.

a = 7.255 Å, b = 7.255 Å, c = 2.613 Å
α = 90.00°, β = 90.00°, γ = 90.00°
Space group P4/mbm (No. 127)
Inequivalent atoms, fractional coordinates:
Zr1 0.000 0.000 0.000 (multiplicity 2)
Be1 0.166 0.334 0.500 (multiplicity 4)
Tc1 0.128 0.628 0.000 (multiplicity 4)

The calculation puts the energy above the most stable polymorph in this dataset at 334 meV/atom. For the total energy, the calculation gives -7.323 eV/atom. Its spin magnetization is 0.00 μB/f.u. As for the formation enthalpy at 0 K: 0.02 eV/atom.